Record 1
The following is a PBE calculation of crystalline MnOs2Rh at its relaxed geometry, from Alexandria via LeMat-Bulk.

Summary:
Space-group type: F-43m
E in eV/atom: -9.345

Geometry as POSCAR:
```
MnOs2Rh
1.0
4.331 0.000 0.000
2.165 3.751 0.000
2.165 1.250 3.536
Mn Os Rh
1 2 1
direct
0.500 0.500 0.500 Mn
0.000 0.000 0.000 Os
0.250 0.250 0.250 Os
0.750 0.750 0.750 Rh
```


Record 2
The following is a PBE calculation of crystalline MnOs2Rh at its relaxed geometry, from Alexandria via LeMat-Bulk.

Summary:
Space-group type: R3m
E in eV/atom: -9.621

Geometry as POSCAR:
```
MnOs2Rh
1.0
8.818 -0.014 -0.008
8.404 2.669 -0.008
8.404 1.296 2.334
Mn Os Rh
1 2 1
direct
0.750 0.750 0.750 Mn
0.002 0.002 0.002 Os
0.251 0.251 0.251 Os
0.497 0.497 0.497 Rh
```


Record 3
The following is a PBE calculation of crystalline Mn2OsRh at its relaxed geometry, from Alexandria via LeMat-Bulk.

Summary:
Space-group type: Cm
E in eV/atom: -9.167

Geometry as POSCAR:
```
Mn2OsRh
1.0
4.548 0.002 0.003
3.779 2.532 0.003
0.765 0.233 4.460
Mn Os Rh
2 1 1
direct
0.003 0.003 0.999 Mn
0.749 0.749 0.746 Mn
0.498 0.498 0.517 Os
0.250 0.250 0.238 Rh
```


Number 1: energy of formation from the pure elements 38.6 kJ/mol of atoms. Number 2: energy of formation from the pure elements 12.0 kJ/mol of atoms. Number 3: energy of formation from the pure elements 6.0 kJ/mol of atoms.